Entry from Alexandria via LeMat-Bulk: an optimized crystal structure of PmEuCoIr (PBE).

```
PmEuCoIr
1.0
6.983 0.000 0.000
0.000 6.983 0.000
0.000 0.000 6.983
Pm Eu Co Ir
4 4 4 4
direct
0.000 0.000 0.000
0.000 0.500 0.500
0.500 0.000 0.500
0.500 0.500 0.000
0.000 0.000 0.500
0.000 0.500 0.000
0.500 0.000 0.000
0.500 0.500 0.500
0.250 0.250 0.750
0.250 0.750 0.250
0.750 0.250 0.250
0.750 0.750 0.750
0.250 0.250 0.250
0.250 0.750 0.750
0.750 0.250 0.750
0.750 0.750 0.250
```

Summary:
- formation energy from the elements (eV/atom) = -0.104
- E_tot (eV for the cell shown) = -125.63
- size of the total moment (μB/f.u.) = 7.73

---

Entry from Alexandria via LeMat-Bulk: an optimized crystal structure of Mg2CdIrO6 (PBE).

```
Mg2CdIrO6
1.0
2.660 1.535 4.802
-2.660 1.535 4.802
0.000 -3.071 4.802
Mg Cd Ir O
2 1 1 6
direct
0.000 0.000 0.000
0.491 0.491 0.491
0.213 0.213 0.213
0.691 0.691 0.691
0.070 0.433 0.770
0.303 0.867 0.635
0.433 0.770 0.070
0.635 0.303 0.867
0.770 0.070 0.433
0.867 0.635 0.303
```

Summary:
- E_tot (eV for the cell shown) = -57.78
- size of the total moment (μB/f.u.) = 2.89
- uncorrected formation energy (eV per atom) = -1.506

---

Question: What is the size of the total moment in the second record?
Answer: 2.89 μB/f.u.

---

Question: The lowest size of the total moment belongs to which entry?
Answer: Mg2CdIrO6

---

Question: size of the total moment of number 1 (PmEuCoIr)?
Answer: 7.73 μB/f.u.

---

Question: What is the formula in the first record?
Answer: PmEuCoIr